No. 1
TaMn2Ir: optimized geometry, PBE. Values from VASP.

Structure (Quantum ESPRESSO input):
```
&SYSTEM
  ibrav = 0, nat = 12, ntyp = 3
/
ATOMIC_SPECIES
Ta 180.95 Ta.upf
Mn 54.94 Mn.upf
Ir 192.22 Ir.upf
ATOMIC_POSITIONS crystal
Ta 0.000 0.000 0.000
Ta 0.333 0.667 0.667
Ta 0.667 0.333 0.333
Mn 0.000 0.000 0.246
Mn 0.000 0.000 0.754
Mn 0.333 0.667 0.420
Mn 0.333 0.667 0.913
Mn 0.667 0.333 0.087
Mn 0.667 0.333 0.580
Ir 0.000 0.000 0.500
Ir 0.333 0.667 0.167
Ir 0.667 0.333 0.833
CELL_PARAMETERS angstrom
2.788 0.000 0.000
-1.394 2.415 0.000
0.000 0.000 26.000
```

* E: -0.7063 Ry per atom
* energy above the lowest structure with this stoichiometry: 0.373 eV per atom
* density of states at the Fermi level: 1.22 states/eV per atom
* formation enthalpy at 0 K: 0.154 eV/atom
* total magnetization: 4.55 μB per formula unit
* space group: R-3m (166)



No. 2
TaMnIr2: optimized geometry, PBE. Values from VASP.

Structure (Quantum ESPRESSO input):
```
&SYSTEM
  ibrav = 0, nat = 8, ntyp = 3
/
ATOMIC_SPECIES
Ta 180.95 Ta.upf
Mn 54.94 Mn.upf
Ir 192.22 Ir.upf
ATOMIC_POSITIONS crystal
Ta 0.000 0.000 0.000
Ta 0.500 0.500 0.000
Mn 0.265 0.500 0.296
Mn 0.765 0.000 0.296
Ir 0.011 0.500 0.497
Ir 0.251 0.000 0.784
Ir 0.511 0.000 0.497
Ir 0.751 0.500 0.784
CELL_PARAMETERS angstrom
9.285 0.000 0.000
0.000 2.842 0.000
-0.837 0.000 4.614
```

* E: -0.7323 Ry per atom
* density of states at the Fermi level: 1.10 states/eV per atom
* formation enthalpy at 0 K: -0.277 eV/atom
* total magnetization: 3.00 μB per formula unit
* space group: Cm (8)



No. 3
Ta2MnIr2: optimized geometry, PBE. Values from VASP.

Structure (Quantum ESPRESSO input):
```
&SYSTEM
  ibrav = 0, nat = 10, ntyp = 3
/
ATOMIC_SPECIES
Ta 180.95 Ta.upf
Mn 54.94 Mn.upf
Ir 192.22 Ir.upf
ATOMIC_POSITIONS crystal
Ta 0.167 0.333 0.000
Ta 0.333 0.833 0.000
Ta 0.667 0.167 0.000
Ta 0.833 0.667 0.000
Mn 0.000 0.000 0.500
Mn 0.500 0.500 0.500
Ir 0.133 0.633 0.500
Ir 0.367 0.133 0.500
Ir 0.633 0.867 0.500
Ir 0.867 0.367 0.500
CELL_PARAMETERS angstrom
7.532 0.000 0.000
0.000 7.532 0.000
0.000 0.000 3.001
```

* E: -0.7633 Ry per atom
* density of states at the Fermi level: 0.84 states/eV per atom
* formation enthalpy at 0 K: -0.266 eV/atom
* total magnetization: 3.53 μB per formula unit
* space group: P4/mbm (127)



No. 4
TaMn5Ir: optimized geometry, PBE. Values from VASP.

Structure (Quantum ESPRESSO input):
```
&SYSTEM
  ibrav = 0, nat = 28, ntyp = 3
/
ATOMIC_SPECIES
Ta 180.95 Ta.upf
Mn 54.94 Mn.upf
Ir 192.22 Ir.upf
ATOMIC_POSITIONS crystal
Ta 0.247 0.250 0.062
Ta 0.253 0.750 0.562
Ta 0.747 0.250 0.438
Ta 0.753 0.750 0.938
Mn 0.053 0.750 0.089
Mn 0.074 0.009 0.311
Mn 0.074 0.491 0.311
Mn 0.089 0.250 0.526
Mn 0.190 0.250 0.753
Mn 0.310 0.750 0.253
Mn 0.411 0.750 0.026
Mn 0.426 0.509 0.811
Mn 0.426 0.991 0.811
Mn 0.447 0.250 0.589
Mn 0.553 0.750 0.411
Mn 0.574 0.009 0.189
Mn 0.574 0.491 0.189
Mn 0.589 0.250 0.974
Mn 0.690 0.250 0.747
Mn 0.810 0.750 0.247
Mn 0.911 0.750 0.474
Mn 0.926 0.509 0.689
Mn 0.926 0.991 0.689
Mn 0.947 0.250 0.911
Ir 0.134 0.750 0.851
Ir 0.366 0.250 0.351
Ir 0.634 0.750 0.649
Ir 0.866 0.250 0.149
CELL_PARAMETERS angstrom
7.800 0.000 0.000
0.000 4.663 0.000
0.000 0.000 9.822
```

* E: -0.7075 Ry per atom
* density of states at the Fermi level: 1.01 states/eV per atom
* formation enthalpy at 0 K: -0.118 eV/atom
* total magnetization: 2.14 μB per formula unit
* space group: Pnma (62)



No. 5
TaMn2Ir: optimized geometry, PBE. Values from VASP.

Structure (Quantum ESPRESSO input):
```
&SYSTEM
  ibrav = 0, nat = 4, ntyp = 3
/
ATOMIC_SPECIES
Ta 180.95 Ta.upf
Mn 54.94 Mn.upf
Ir 192.22 Ir.upf
ATOMIC_POSITIONS crystal
Ta 0.000 0.000 0.000
Mn 0.500 0.500 0.261
Mn 0.500 0.500 0.739
Ir 0.000 0.000 0.500
CELL_PARAMETERS angstrom
2.829 0.000 0.000
0.000 3.528 0.000
0.000 0.000 5.696
```

* E: -0.7235 Ry per atom
* energy above the lowest structure with this stoichiometry: 0.139 eV per atom
* density of states at the Fermi level: 1.00 states/eV per atom
* formation enthalpy at 0 K: -0.080 eV/atom
* total magnetization: 4.05 μB per formula unit
* space group: Pmmm (47)



No. 6
TaMn4Ir: optimized geometry, PBE. Values from VASP.

Structure (Quantum ESPRESSO input):
```
&SYSTEM
  ibrav = 0, nat = 6, ntyp = 3
/
ATOMIC_SPECIES
Ta 180.95 Ta.upf
Mn 54.94 Mn.upf
Ir 192.22 Ir.upf
ATOMIC_POSITIONS crystal
Ta 0.000 0.000 0.000
Mn 0.377 0.377 0.377
Mn 0.377 0.377 0.870
Mn 0.377 0.870 0.377
Mn 0.870 0.377 0.377
Ir 0.750 0.750 0.750
CELL_PARAMETERS angstrom
0.000 3.346 3.346
3.346 0.000 3.346
3.346 3.346 0.000
```

* E: -0.7168 Ry per atom
* density of states at the Fermi level: 0.54 states/eV per atom
* formation enthalpy at 0 K: -0.187 eV/atom
* total magnetization: 0.00 μB per formula unit
* space group: F-43m (216)



Question: Which of these has the lowest total magnetization?
Answer: TaMn4Ir



Question: Which formula does entry 4 have?
Answer: TaMn5Ir